Computed, not measured: a PBEsol-optimized structure of HfPdAu2S at the SCAN level of DFT.

Lattice parameters (Å, degrees): 4.657 5.115 5.115 90.00 90.00 90.00
Positions (direct):
S 0.500 0.000 0.000
Pd 0.500 0.500 0.500
Hf 0.000 0.000 0.000
Au 0.000 0.000 0.500
Au 0.000 0.500 0.000

Computed properties:
The value obtained for the energy relative to the elements, uncorrected is 0.369 eV per atom. As for the final energy: -48.3091 eV/atom.

Computed, not measured: a PBEsol-optimized structure of ZrCdIn2 at the SCAN level of DFT.

Lattice parameters (Å, degrees): 5.005 5.005 5.005 60.00 60.00 60.00
Positions (direct):
Cd 0.500 0.500 0.500
In 0.000 0.000 0.000
In 0.750 0.750 0.750
Zr 0.250 0.250 0.250

Computed properties:
As for the final energy: -31.8182 eV/atom.

Computed, not measured: a PBEsol-optimized structure of InIr2 at the SCAN level of DFT.

Lattice parameters (Å, degrees): 3.883 4.020 6.346 90.00 107.81 90.00
Positions (direct):
Ir 0.411 0.250 0.821
Ir 0.589 0.750 0.179
Ir 0.749 0.250 0.498
Ir 0.251 0.750 0.502
In 0.913 0.750 0.826
In 0.087 0.250 0.174

Computed properties:
As for the final energy: -58.3820 eV/atom.

Computed, not measured: a PBEsol-optimized structure of KTl2Sb at the SCAN level of DFT.

Lattice parameters (Å, degrees): 3.590 6.007 6.786 116.08 105.34 90.00
Positions (direct):
Tl 0.720 0.720 0.440
Tl 0.280 0.280 0.560
K 0.500 0.000 0.000
Sb 0.000 0.500 0.000

Computed properties:
The value obtained for the energy relative to the elements, uncorrected is -0.219 eV per atom. As for the final energy: -47.7957 eV/atom.

Question: Which of these has the highest final energy?
Answer: ZrCdIn2

Question: Among the records above, which one has the lowest final energy?
Answer: InIr2

Question: The lowest final energy belongs to which entry?
Answer: InIr2

What did the second record say?
Computed, not measured: a PBEsol-optimized structure of ZrCdIn2 at the SCAN level of DFT.

Lattice parameters (Å, degrees): 5.005 5.005 5.005 60.00 60.00 60.00
Positions (direct):
Cd 0.500 0.500 0.500
In 0.000 0.000 0.000
In 0.750 0.750 0.750
Zr 0.250 0.250 0.250

Computed properties:
As for the final energy: -31.8182 eV/atom.